Record 1
Below is a geometry-optimized Th4BiN structure, with properties calculated at the PBE level.

**Uncorrected formation energy**: -0.572 eV per atom
**E**: -90.63 eV/cell
**Magnetization**: 0.0 Bohr magnetons per cell

```
data_Th4BiN
_cell_length_a 6.214
_cell_length_b 7.133
_cell_length_c 8.344
_cell_angle_alpha 104.61
_cell_angle_beta 111.69
_cell_angle_gamma 90.03
_space_group_name_H-M_alt 'P -1'
_space_group_IT_number 2
_space_group_name_Hall '-P 1'
loop_
_atom_site_label
_atom_site_fract_x
_atom_site_fract_y
_atom_site_fract_z
_atom_site_occupancy
Th1 0.033 0.446 0.203 1
Th2 0.173 0.944 0.202 1
Th3 0.232 0.832 0.606 1
Th4 0.373 0.331 0.605 1
Bi1 0.399 0.250 0.000 1
N1 0.000 0.500 0.500 1
N2 0.500 0.000 0.500 1
```

---

Record 2
Below is a geometry-optimized AgS structure, with properties calculated at the PBE level.

**Uncorrected formation energy**: 0.106 eV per atom
**E**: -27.07 eV/cell
**Magnetization**: 0.0 Bohr magnetons per cell

```
data_AgS
_cell_length_a 6.617
_cell_length_b 6.884
_cell_length_c 3.670
_cell_angle_alpha 90.00
_cell_angle_beta 90.00
_cell_angle_gamma 90.00
_space_group_name_H-M_alt 'P n n m'
_space_group_IT_number 58
_space_group_name_Hall '-P 2 2n'
loop_
_atom_site_label
_atom_site_fract_x
_atom_site_fract_y
_atom_site_fract_z
_atom_site_occupancy
Ag1 0.000 0.000 0.000 1
Ag2 0.000 0.500 0.000 1
S1 0.171 0.166 0.500 1
```

---

Record 3
Below is a geometry-optimized Cs2KCdF5 structure, with properties calculated at the PBE level.

**Uncorrected formation energy**: -2.511 eV per atom
**E**: -71.34 eV/cell
**Magnetization**: 0.0 Bohr magnetons per cell

```
data_Cs2KCdF5
_cell_length_a 4.443
_cell_length_b 6.578
_cell_length_c 14.077
_cell_angle_alpha 90.00
_cell_angle_beta 90.00
_cell_angle_gamma 90.00
_space_group_name_H-M_alt 'I m m m'
_space_group_IT_number 71
_space_group_name_Hall '-I 2 2'
loop_
_atom_site_label
_atom_site_fract_x
_atom_site_fract_y
_atom_site_fract_z
_atom_site_occupancy
Cs1 0.000 0.000 0.213 1
K1 0.000 0.500 0.000 1
Cd1 0.000 0.500 0.500 1
F1 0.000 0.000 0.000 1
F2 0.000 0.256 0.385 1
```

---

Record 4
Below is a geometry-optimized KCu2Tc structure, with properties calculated at the PBE level.

**Polymorph energy (0 for the lowest one)**: 180 meV per atom
**E**: -33.35 eV/cell
**Magnetization**: 1.7 Bohr magnetons per cell
**Energy relative to the elements**: 2.98 eV/f.u.

```
data_KCu2Tc
_cell_length_a 8.881
_cell_length_b 2.603
_cell_length_c 6.842
_cell_angle_alpha 90.00
_cell_angle_beta 94.93
_cell_angle_gamma 90.00
_space_group_name_H-M_alt 'C 1 m 1'
_space_group_IT_number 8
_space_group_name_Hall 'C -2y'
loop_
_atom_site_label
_atom_site_fract_x
_atom_site_fract_y
_atom_site_fract_z
_atom_site_occupancy
K1 0.000 0.000 0.000 1
Cu1 0.265 0.500 0.323 1
Cu2 0.489 0.000 0.499 1
Tc1 0.228 0.000 0.634 1
```

---

Record 5
Below is a geometry-optimized RbLiDyCl6 structure, with properties calculated at the PBE level.

**Uncorrected formation energy**: -1.757 eV per atom
**E**: -68.76 eV/cell
**Magnetization**: 2.3 Bohr magnetons per cell

```
data_RbLiDyCl6
_cell_length_a 6.703
_cell_length_b 11.695
_cell_length_c 7.545
_cell_angle_alpha 90.00
_cell_angle_beta 90.14
_cell_angle_gamma 90.00
_space_group_name_H-M_alt 'C 1 2 1'
_space_group_IT_number 5
_space_group_name_Hall 'C 2y'
loop_
_atom_site_label
_atom_site_fract_x
_atom_site_fract_y
_atom_site_fract_z
_atom_site_occupancy
Rb1 0.000 0.000 0.000 1
Li1 0.000 0.666 0.500 1
Dy1 0.000 0.334 0.500 1
Cl1 0.128 0.502 0.296 1
Cl2 0.180 0.813 0.297 1
Cl3 0.189 0.184 0.297 1
```

---

Record 6
Below is a geometry-optimized GdDyIn structure, with properties calculated at the PBE level.

**Polymorph energy (0 for the lowest one)**: 80 meV per atom
**E**: -22.13 eV/cell
**Magnetization**: 7.3 Bohr magnetons per cell
**Energy relative to the elements**: -0.71 eV/f.u.

```
data_GdDyIn
_cell_length_a 5.2498
_cell_length_b 5.2498
_cell_length_c 3.6144
_cell_angle_alpha 90.00
_cell_angle_beta 90.00
_cell_angle_gamma 120.00
_space_group_name_H-M_alt 'P 3 m 1'
_space_group_IT_number 156
_space_group_name_Hall 'P 3 -2"'
loop_
_atom_site_label
_atom_site_fract_x
_atom_site_fract_y
_atom_site_fract_z
_atom_site_occupancy
Gd1 0.0000 0.0000 0.0000 1
Dy1 0.6667 0.3333 0.5641 1
In1 0.3333 0.6667 0.3074 1
```

---

Number 1: calculated volume 331 Å³ per cell. Number 2: calculated volume 167 Å³ per cell. Number 3: calculated volume 411 Å³ per cell. Number 4: calculated volume 158 Å³ per cell. Number 5: calculated volume 591 Å³ per cell. Number 6: calculated volume 86 Å³ per cell.